Here is a relaxed Li6SnPt2 crystal from Alexandria via LeMat-Bulk. Energies are from GGA-PBE.

Structure (POSCAR):
```
Li6SnPt2
1.0
6.4554 -3.7271 0.0000
6.4554 3.7271 0.0000
-0.0142 0.0000 2.8003
Li Sn Pt
6 1 2
Direct
0.1550 0.4999 0.9940
0.1549 0.8451 0.0000
0.4999 0.1550 0.9940
0.5001 0.8450 0.0060
0.8451 0.1549 0.0000
0.8450 0.5001 0.0060
0.5000 0.5000 0.5000
0.1666 0.1666 0.5000
0.8334 0.8334 0.5000
```

crystal system	monoclinic
M_tot	0.0	μB per formula unit
formation energy	-42.15	kJ/mol of atoms
energy above the most stable polymorph in this dataset	79	meV per atom
DOS(E_F)	0.25	states/eV/atom